Record 1
K3CdPt | GGA-PBEsol | relaxed

Values from the calculation:
Space group ... Pm-3m
ΔH_f (0 K) ... 0.255 eV/atom
Total magnetization ... 0.55 μB per cell
Distance to the lowest polymorph of the same formula ... 0.000 eV/atom

Cell and atoms, written as POSCAR:
```
K3CdPt
1.0
-5.053 -3.188 0.895
3.142 -4.102 3.130
-1.044 3.083 5.089
K Pt Cd
3 1 1
direct
0.500 0.000 0.000 K
0.000 0.000 0.500 K
0.000 0.500 0.000 K
0.000 0.000 0.000 Pt
0.500 0.500 0.500 Cd
```



Record 2
KCd2Pt | GGA-PBEsol | relaxed

Values from the calculation:
Space group ... Imm2
ΔH_f (0 K) ... -0.093 eV/atom
Total magnetization ... 0.00 μB per cell

Cell and atoms, written as POSCAR:
```
KCd2Pt
1.0
2.984 0.000 0.000
0.000 4.558 0.000
-1.492 -2.279 7.671
Pt Cd K
1 2 1
direct
0.261 0.761 0.522 Pt
0.913 0.913 0.826 Cd
0.755 0.255 0.509 Cd
0.571 0.571 0.143 K
```



Record 3
KCdPt | GGA-PBEsol | relaxed

Values from the calculation:
Space group ... F-43m
ΔH_f (0 K) ... 0.882 eV/atom
Total magnetization ... 0.00 μB per cell
Distance to the lowest polymorph of the same formula ... 0.959 eV/atom

Cell and atoms, written as POSCAR:
```
KCdPt
1.0
4.884 0.000 0.000
2.442 4.229 0.000
2.442 1.410 3.987
K Pt Cd
1 1 1
direct
0.250 0.250 0.250 K
0.000 0.000 0.000 Pt
0.500 0.500 0.500 Cd
```



Record 4
KCdPt | GGA-PBEsol | relaxed

Values from the calculation:
Space group ... F-43m
ΔH_f (0 K) ... 0.238 eV/atom
Total magnetization ... 0.00 μB per cell
Distance to the lowest polymorph of the same formula ... 0.314 eV/atom

Cell and atoms, written as POSCAR:
```
KCdPt
1.0
4.800 0.000 0.000
2.400 4.157 0.000
2.400 1.386 3.919
Cd Pt K
1 1 1
direct
0.000 0.000 0.000 Cd
0.250 0.250 0.250 Pt
0.500 0.500 0.500 K
```



Record 5
KCdSi2Pt | GGA-PBEsol | relaxed

Values from the calculation:
Energy relative to the elements, uncorrected ... 2198 meV per atom
Space group ... P4/mmm
Total magnetization ... 0.00 μB per cell

Cell and atoms, written as POSCAR:
```
KCdSi2Pt
1.0
4.992 0.000 0.000
0.000 4.992 0.000
0.000 0.000 5.169
Pt Si K Cd
1 2 1 1
direct
0.500 0.500 0.500 Pt
0.000 0.500 0.000 Si
0.500 0.000 0.000 Si
0.000 0.000 0.000 K
0.000 0.000 0.500 Cd
```



Record 6
K2TlCdPt | GGA-PBEsol | relaxed

Values from the calculation:
Space group ... P4/mmm
ΔH_f (0 K) ... 0.818 eV/atom
Total magnetization ... 0.00 μB per cell

Cell and atoms, written as POSCAR:
```
K2TlCdPt
1.0
-1.464 -1.166 -4.900
1.184 -5.892 1.049
-5.738 -0.813 1.907
Tl Cd K Pt
1 1 2 1
direct
0.000 0.000 0.000 Tl
0.500 0.000 0.000 Cd
0.000 0.500 0.000 K
0.000 0.000 0.500 K
0.500 0.500 0.500 Pt
```



Record 7
K2RbCd2 | GGA-PBEsol | relaxed

Values from the calculation:
Space group ... I4/mmm
ΔH_f (0 K) ... 0.074 eV/atom
Total magnetization ... 0.00 μB per cell
Distance to the lowest polymorph of the same formula ... 0.037 eV/atom

Cell and atoms, written as POSCAR:
```
K2RbCd2
1.0
-1.809 -0.936 5.106
3.922 -3.789 0.695
3.612 7.676 -0.272
Rb Cd K
1 2 2
direct
0.000 0.000 0.000 Rb
0.593 0.593 0.185 Cd
0.407 0.407 0.815 Cd
0.250 0.750 0.500 K
0.750 0.250 0.500 K
```



Record 8
KRb3Cd | GGA-PBEsol | relaxed

Values from the calculation:
Space group ... Pm-3m
ΔH_f (0 K) ... 0.084 eV/atom
Total magnetization ... 0.00 μB per cell

Cell and atoms, written as POSCAR:
```
KRb3Cd
1.0
-1.987 3.859 5.632
-1.197 -5.972 3.669
6.722 0.077 2.318
Rb Cd K
3 1 1
direct
0.500 0.000 0.000 Rb
0.000 0.000 0.500 Rb
0.000 0.500 0.000 Rb
0.000 0.000 0.000 Cd
0.500 0.500 0.500 K
```



> What is the total magnetization in the fifth record?

0.00 μB per cell



> The highest total magnetization belongs to which entry?

K3CdPt